First-principles (PBE) data for a geometry-optimized MnCr6Re5 structure, as listed in Alexandria via LeMat-Bulk.

```
MnCr6Re5
1.0
2.135 -4.494 0.000
2.135 4.494 0.000
0.000 0.000 8.325
Mn Cr Re
1 6 5
Direct
0.000 0.000 0.000
0.166 0.834 0.250
0.166 0.834 0.750
0.500 0.500 0.242
0.500 0.500 0.758
0.834 0.166 0.250
0.834 0.166 0.750
0.000 0.000 0.500
0.332 0.668 0.000
0.334 0.666 0.500
0.666 0.334 0.500
0.668 0.332 0.000
```

Computed properties:
* D(E_F): 1.080 states/eV/atom
* size of the total moment: 2.9 μB per formula unit
* SG: Cmmm
* energy of formation: 0.094 eV per atom